A geometry-optimized KCrNiF6 structure, computed with GGA+U.

CIF file:
```
data_KCrNiF6
_space_group_name_H-M_alt 'P 1'
_space_group_IT_number 1
_space_group_name_Hall 'P 1'
_cell_length_a 5.321
_cell_length_b 5.321
_cell_length_c 11.430
_cell_angle_alpha 90.00
_cell_angle_beta 90.00
_cell_angle_gamma 120.00
loop_
_atom_site_label
_atom_site_type_symbol
_atom_site_fract_x
_atom_site_fract_y
_atom_site_fract_z
K1 K 0.000 0.000 0.000
K2 K 0.000 0.000 0.500
Cr1 Cr 0.333 0.667 0.250
Cr2 Cr 0.667 0.333 0.750
Ni1 Ni 0.333 0.667 0.750
Ni2 Ni 0.667 0.333 0.250
F1 F 0.012 0.378 0.155
F2 F 0.012 0.634 0.345
F3 F 0.366 0.378 0.345
F4 F 0.366 0.988 0.155
F5 F 0.378 0.012 0.655
F6 F 0.378 0.366 0.845
F7 F 0.622 0.634 0.155
F8 F 0.622 0.988 0.345
F9 F 0.634 0.012 0.845
F10 F 0.634 0.622 0.655
F11 F 0.988 0.366 0.655
F12 F 0.988 0.622 0.845
```

**Space-group type**: P-31c, No. 163
**Total magnetization**: 10.0 μB per cell
**Crystal system**: trigonal
**Distance to the lowest polymorph of the same formula**: 0 meV per atom
**Fermi-level density of states**: 0.0 states/eV/cell